Computed, not measured: an optimized crystal structure of LiBeIn2 at the PBE level of DFT.

Calculated values
* formation energy: 0.7 eV/f.u.
* V: 77.7 Å³/cell
* size of the total moment: 0.00 Bohr magnetons per cell

Lattice parameters (Å, degrees): 3.168 4.188 6.057 90.00 104.70 90.00
Space group P2/m (No. 10)
Symmetry-distinct sites (fractional):
Li 0.000 0.000 0.000 x1
Be 0.500 0.000 0.500 x1
In 0.373 0.500 0.737 x2